Density functional theory data (PBE) for ErTm5Te6 after structural relaxation.

Cell lengths 7.445, 12.944, 7.444 Å; angles 90.00, 109.60, 90.00 degrees
Space group C2/m (No. 12)
Asymmetric unit:
Er1 0.000 0.000 0.000 x2
Tm1 0.000 0.164 0.500 x4
Tm2 0.000 0.333 0.000 x4
Tm3 0.000 0.500 0.500 x2
Te1 0.248 0.500 0.249 x4
Te2 0.249 0.332 0.749 x8

ΔE_f (raw): -1.174 eV/atom